1.
Computed, not measured: a geometry-optimized KSc2P structure at the PBE level of DFT.

The formation energy is 0.180 eV per atom.

It has space group I-4m2 (No. 119), with a = 4.186 Å, b = 4.186 Å, c = 10.365 Å, α = 90.00°, β = 90.00° and γ = 90.00°. The distinct sites, in fractional coordinates, are K at (0.000, 0.000, 0.000), Sc at (0.000, 0.000, 0.500), Sc at (0.000, 0.500, 0.250) and P at (0.000, 0.500, 0.750).

2.
Computed, not measured: a geometry-optimized KScP2 structure at the PBE level of DFT.

The formation energy is -0.472 eV per atom. The calculation puts the offset from the most stable computed form at 258 meV/atom.

It has space group Cm (No. 8), with a = 17.148 Å, b = 2.929 Å, c = 3.961 Å, α = 90.00°, β = 90.04° and γ = 90.00°. The distinct sites, in fractional coordinates, are K at (0.000, 0.000, 0.000), Sc at (0.253, 0.500, 0.498), P at (0.185, 0.000, 0.998) and P at (0.381, 0.000, 0.500).

3.
Computed, not measured: a geometry-optimized K2ScTlP structure at the PBE level of DFT.

The formation energy is 0.731 eV per atom.

It has space group P4/mmm (No. 123), with a = 6.193 Å, b = 6.193 Å, c = 5.567 Å, α = 90.00°, β = 90.00° and γ = 90.00°. The distinct sites, in fractional coordinates, are K at (0.000, 0.500, 0.000), Sc at (0.000, 0.000, 0.500), Tl at (0.000, 0.000, 0.000) and P at (0.500, 0.500, 0.500).

4.
Computed, not measured: a geometry-optimized KScV2P structure at the PBE level of DFT.

The formation energy is 0.692 eV per atom.

It has space group P4/mmm (No. 123), with a = 4.505 Å, b = 4.505 Å, c = 5.489 Å, α = 90.00°, β = 90.00° and γ = 90.00°. The distinct sites, in fractional coordinates, are K at (0.000, 0.000, 0.000), Sc at (0.500, 0.500, 0.000), V at (0.000, 0.500, 0.500) and P at (0.000, 0.000, 0.500).

5.
Computed, not measured: a geometry-optimized KPSe structure at the PBE level of DFT.

As for the uncorrected formation energy: -0.2486 eV per atom. The calculation puts the offset from the most stable computed form at 91 meV/atom.

It has space group P3m1 (No. 156), with a = 4.4029 Å, b = 4.4029 Å, c = 5.0619 Å, α = 90.00°, β = 90.00° and γ = 120.00°. The distinct sites, in fractional coordinates, are K at (0.0000, 0.0000, 0.0000), P at (0.3333, 0.6667, 0.4489) and Se at (0.6667, 0.3333, 0.5430).

6.
Computed, not measured: a geometry-optimized KP2Se4 structure at the PBE level of DFT.

As for the uncorrected formation energy: -0.3294 eV per atom.

It has space group P-1 (No. 2), with a = 6.395 Å, b = 7.406 Å, c = 9.309 Å, α = 88.44°, β = 85.63° and γ = 75.62°. The distinct sites, in fractional coordinates, are K at (0.145, 0.231, 0.126), P at (0.127, 0.147, 0.578), P at (0.446, 0.654, 0.289), Se at (0.094, 0.734, 0.214), Se at (0.185, 0.832, 0.583), Se at (0.422, 0.099, 0.782) and Se at (0.427, 0.573, 0.887).

7.
Computed, not measured: a geometry-optimized KPSe structure at the PBE level of DFT.

As for the uncorrected formation energy: -0.2891 eV per atom. The calculation puts the offset from the most stable computed form at 51 meV/atom.

It has space group Cmcm (No. 63), with a = 4.779 Å, b = 7.697 Å, c = 9.493 Å, α = 90.00°, β = 90.00° and γ = 90.00°. The distinct sites, in fractional coordinates, are K at (0.000, 0.000, 0.000), P at (0.000, 0.349, 0.250) and Se at (0.000, 0.363, 0.750).

8.
Computed, not measured: a geometry-optimized KPSe2 structure at the PBE level of DFT.

As for the uncorrected formation energy: 0.0848 eV per atom.

It has space group P4/mmm (No. 123), with a = 3.445 Å, b = 3.445 Å, c = 7.843 Å, α = 90.00°, β = 90.00° and γ = 90.00°. The distinct sites, in fractional coordinates, are K at (0.000, 0.000, 0.000), P at (0.000, 0.000, 0.500) and Se at (0.500, 0.500, 0.303).

9.
Computed, not measured: a geometry-optimized K2PSe structure at the PBE level of DFT.

As for the uncorrected formation energy: -0.4609 eV per atom. The calculation puts the offset from the most stable computed form at 72 meV/atom.

It has space group Imm2 (No. 44), with a = 4.418 Å, b = 5.138 Å, c = 10.842 Å, α = 90.00°, β = 90.00° and γ = 90.00°. The distinct sites, in fractional coordinates, are K at (0.000, 0.000, 0.000), K at (0.000, 0.500, 0.229), P at (0.000, 0.500, 0.811) and Se at (0.000, 0.000, 0.419).

10.
Computed, not measured: a geometry-optimized K3PSe4 structure at the PBE level of DFT.

As for the uncorrected formation energy: -0.8797 eV per atom. The calculation puts the offset from the most stable computed form at 0 meV/atom.

It has space group Pnma (No. 62), with a = 9.503 Å, b = 11.012 Å, c = 9.901 Å, α = 90.00°, β = 90.00° and γ = 90.00°. The distinct sites, in fractional coordinates, are K at (0.065, 0.046, 0.195), K at (0.141, 0.750, 0.420), P at (0.225, 0.750, 0.977), Se at (0.020, 0.750, 0.090), Se at (0.154, 0.082, 0.529) and Se at (0.182, 0.750, 0.756).

11.
Computed, not measured: a geometry-optimized K3PSe4 structure at the PBE level of DFT.

As for the uncorrected formation energy: -0.7831 eV per atom. The calculation puts the offset from the most stable computed form at 97 meV/atom.

It has space group Pmn2_1 (No. 31), with a = 9.702 Å, b = 8.552 Å, c = 7.737 Å, α = 90.00°, β = 90.00° and γ = 90.00°. The distinct sites, in fractional coordinates, are K at (0.000, 0.129, 0.000), K at (0.235, 0.311, 0.486), P at (0.000, 0.804, 0.480), Se at (0.000, 0.051, 0.575), Se at (0.000, 0.796, 0.194) and Se at (0.190, 0.683, 0.573).

12.
Computed, not measured: a geometry-optimized KPSe structure at the PBE level of DFT.

As for the uncorrected formation energy: 0.2921 eV per atom. The calculation puts the offset from the most stable computed form at 632 meV/atom.

It has space group I4mm (No. 107), with a = 2.820 Å, b = 2.820 Å, c = 18.624 Å, α = 90.00°, β = 90.00° and γ = 90.00°. The distinct sites, in fractional coordinates, are K at (0.000, 0.000, 0.000), P at (0.000, 0.000, 0.641) and Se at (0.000, 0.000, 0.360).

Number 1: uncorrected energy -0.3390 Ry/atom. Number 2: uncorrected energy -0.3700 Ry/atom. Number 3: uncorrected energy -0.1859 Ry/atom. Number 4: uncorrected energy -0.4059 Ry/atom. Number 5: uncorrected energy -0.2631 Ry/atom. Number 6: uncorrected energy -0.2957 Ry/atom. Number 7: uncorrected energy -0.2660 Ry/atom. Number 8: uncorrected energy -0.2414 Ry/atom. Number 9: uncorrected energy -0.2376 Ry/atom. Number 10: uncorrected energy -0.2727 Ry/atom. Number 11: uncorrected energy -0.2656 Ry/atom. Number 12: uncorrected energy -0.2233 Ry/atom.